1.
A plane-wave DFT calculation with PBE-GGA was carried out for a relaxed PaTc2Os crystal.

Structure (POSCAR):
```
PaTc2Os
1.0
-1.849 0.211 3.643
-2.671 -2.845 -1.191
2.472 -2.917 1.423
Pa Os Tc
1 1 2
direct
0.500 0.500 0.500
0.500 0.000 0.000
0.000 0.500 0.000
0.000 0.000 0.500
```

E_form = -0.01 eV per atom
Space-group type = P4/mmm, No. 123

=====

2.
A plane-wave DFT calculation with PBE-GGA was carried out for a relaxed ThPaTcOs crystal.

Structure (POSCAR):
```
ThPaTcOs
1.0
-4.754 -0.689 -1.213
-2.903 -2.818 2.859
-3.578 2.088 2.718
Tc Th Pa Os
1 1 1 1
direct
0.750 0.750 0.750
0.500 0.500 0.500
0.000 0.000 0.000
0.250 0.250 0.250
```

E_form = -0.11 eV per atom
Space-group type = F-43m, No. 216

=====

3.
A plane-wave DFT calculation with PBE-GGA was carried out for a relaxed PaTiTcOs crystal.

Structure (POSCAR):
```
PaTiTcOs
1.0
-0.813 4.575 -0.198
-3.398 1.871 2.565
1.050 2.708 3.632
Os Pa Ti Tc
1 1 1 1
direct
0.250 0.250 0.250
0.500 0.500 0.500
0.000 0.000 0.000
0.750 0.750 0.750
```

E_form = -0.31 eV per atom
Space-group type = F-43m, No. 216

=====

4.
A plane-wave DFT calculation with PBE-GGA was carried out for a relaxed TmPaTcOs crystal.

Structure (POSCAR):
```
TmPaTcOs
1.0
4.829 0.000 0.000
2.415 4.182 0.000
2.415 1.394 3.943
Pa Tm Os Tc
1 1 1 1
direct
0.000 0.000 0.000
0.500 0.500 0.500
0.250 0.250 0.250
0.750 0.750 0.750
```

E_form = -0.27 eV per atom
Space-group type = F-43m, No. 216

=====

5.
A plane-wave DFT calculation with PBE-GGA was carried out for a relaxed UPaTcOs crystal.

Structure (POSCAR):
```
UPaTcOs
1.0
4.823 0.000 0.000
2.411 4.177 0.000
2.411 1.392 3.938
Tc Pa Os U
1 1 1 1
direct
0.750 0.750 0.750
0.000 0.000 0.000
0.250 0.250 0.250
0.500 0.500 0.500
```

E_form = -0.07 eV per atom
Space-group type = F-43m, No. 216

=====

6.
A plane-wave DFT calculation with PBE-GGA was carried out for a relaxed PaZnTcOs crystal.

Structure (POSCAR):
```
PaZnTcOs
1.0
4.612 0.000 0.000
2.306 3.994 0.000
2.306 1.331 3.766
Zn Pa Tc Os
1 1 1 1
direct
0.000 0.000 0.000
0.500 0.500 0.500
0.250 0.250 0.250
0.750 0.750 0.750
```

E_form = -0.06 eV per atom
Space-group type = F-43m, No. 216

=====

7.
A plane-wave DFT calculation with PBE-GGA was carried out for a relaxed Pa3Te2Os crystal.

Structure (POSCAR):
```
Pa3Te2Os
1.0
2.904 5.709 3.476
1.532 -2.009 7.148
7.212 0.994 -0.020
Os Te Pa
2 4 6
direct
0.668 0.000 0.664
0.332 0.000 0.336
0.500 0.500 0.000
0.000 0.000 0.000
0.848 0.500 0.305
0.152 0.500 0.695
0.928 0.216 0.635
0.437 0.784 0.635
0.705 0.792 0.000
0.563 0.216 0.365
0.295 0.208 0.000
0.072 0.784 0.365
```

Uncorrected formation energy = -3.63 eV per formula unit
Space-group type = C2/m, No. 12

=====

8.
A plane-wave DFT calculation with PBE-GGA was carried out for a relaxed PaTeOs crystal.

Structure (POSCAR):
```
PaTeOs
1.0
3.995 0.000 0.000
0.000 3.995 0.000
-1.998 -1.998 9.026
Te Pa Os
2 2 2
direct
0.311 0.311 0.623
0.689 0.689 0.377
0.108 0.108 0.216
0.892 0.892 0.784
0.000 0.500 0.000
0.500 0.000 0.000
```

Uncorrected formation energy = -1.28 eV per formula unit
Space-group type = I4/mmm, No. 139

=====

9.
A plane-wave DFT calculation with PBE-GGA was carried out for a relaxed Pa4Te5Os crystal.

Structure (POSCAR):
```
Pa4Te5Os
1.0
-3.346 -1.362 2.040
4.045 -7.331 1.740
3.886 6.050 6.196
Pa Te Os
4 5 1
direct
0.998 0.219 0.997
0.653 0.083 0.306
0.347 0.917 0.694
0.002 0.781 0.003
0.174 0.825 0.348
0.832 0.650 0.664
0.826 0.175 0.652
0.168 0.350 0.336
0.500 0.500 0.000
0.500 0.000 0.000
```

Uncorrected formation energy = -7.05 eV per formula unit
Space-group type = C2/m, No. 12

=====

10.
A plane-wave DFT calculation with PBE-GGA was carried out for a relaxed Pa4Te3Os crystal.

Structure (POSCAR):
```
Pa4Te3Os
1.0
4.095 0.000 0.000
0.000 6.956 -2.947
0.000 0.723 7.520
Pa Te Os
4 3 1
direct
0.000 0.790 0.790
0.500 0.230 0.770
0.000 0.210 0.210
0.500 0.770 0.230
0.500 0.500 0.500
0.000 0.000 0.500
0.000 0.500 0.000
0.500 0.000 0.000
```

Uncorrected formation energy = -4.79 eV per formula unit
Space-group type = Cmmm, No. 65

=====

11.
A plane-wave DFT calculation with PBE-GGA was carried out for a relaxed TmPaTeOs crystal.

Structure (POSCAR):
```
TmPaTeOs
1.0
-0.779 -0.158 3.985
3.268 -1.886 -1.507
3.418 6.828 -1.133
Te Tm Pa Os
1 1 1 1
direct
0.969 0.383 0.366
0.498 0.147 0.661
0.099 0.948 0.062
0.311 0.553 0.880
```

Uncorrected formation energy = -2.71 eV per formula unit
Space-group type = R3m, No. 160

=====

12.
A plane-wave DFT calculation with PBE-GGA was carried out for a relaxed ZrPaTeOs crystal.

Structure (POSCAR):
```
ZrPaTeOs
1.0
4.053 0.000 0.000
-2.026 3.511 0.000
-2.026 -1.170 7.025
Zr Os Te Pa
1 1 1 1
direct
0.501 0.148 0.665
0.298 0.547 0.861
0.979 0.387 0.381
0.100 0.948 0.063
```

Uncorrected formation energy = -2.09 eV per formula unit
Space-group type = R3m, No. 160